[1]
Below is a relaxed Sc2B6Pt crystal, with properties calculated at the PBE level.

The calculated density is 6.59 g/cm³. Its total energy is -7.150 eV per atom. The volume comes out at 9.8 A^3/atom. For the spin magnetization, the calculation gives 0.01 μB per formula unit.

Cell lengths 8.9680, 11.2486, 3.4932 Å; angles 90.00, 90.00, 90.00 degrees
With the nearest neighbours (Å) after each atom.
Element x y z (fractional)
B 0.0196 0.7121 0.5000  3 B 1.70-1.86
B 0.1354 0.1785 0.5000  3 B 1.73-1.86
B 0.2468 0.9235 0.5000  3 B 1.75-1.90
B 0.9804 0.2879 0.5000  3 B 1.70-1.86
B 0.3646 0.6785 0.5000  3 B 1.73-1.86
B 0.2532 0.4235 0.5000  3 B 1.75-1.90
B 0.5533 0.0625 0.5000  3 B 1.70-1.81
B 0.2001 0.7589 0.5000  3 B 1.70-1.90
B 0.7999 0.2411 0.5000  3 B 1.70-1.90
B 0.1012 0.0268 0.5000  3 B 1.73-1.91
B 0.0533 0.4375 0.5000  3 B 1.70-1.81
B 0.6012 0.4733 0.5000  3 B 1.73-1.91
B 0.7532 0.0765 0.5000  3 B 1.75-1.90
B 0.5196 0.7879 0.5000  3 B 1.70-1.86
B 0.4804 0.2121 0.5000  3 B 1.70-1.86
B 0.8988 0.9732 0.5000  3 B 1.73-1.91
B 0.4467 0.9375 0.5000  3 B 1.70-1.81
B 0.7468 0.5765 0.5000  3 B 1.75-1.90
B 0.3988 0.5268 0.5000  3 B 1.73-1.91
B 0.8646 0.8215 0.5000  3 B 1.73-1.86
B 0.9467 0.5625 0.5000  3 B 1.70-1.81
B 0.2999 0.2589 0.5000  3 B 1.70-1.90
B 0.7001 0.7411 0.5000  3 B 1.70-1.90
B 0.6354 0.3215 0.5000  3 B 1.73-1.86
Pt 0.1436 0.3191 0.0000  10 B 2.31-2.36
Pt 0.8564 0.6809 0.0000  10 B 2.31-2.36
Pt 0.3564 0.8191 0.0000  10 B 2.31-2.36
Pt 0.6436 0.1809 0.0000  10 B 2.31-2.36
Sc 0.0537 0.8743 0.0000  12 B 2.48-2.54
Sc 0.6780 0.9147 0.0000  14 B 2.61-2.72
Sc 0.3220 0.0853 0.0000  14 B 2.61-2.72
Sc 0.8220 0.4147 0.0000  14 B 2.61-2.72
Sc 0.1780 0.5853 0.0000  14 B 2.61-2.72
Sc 0.4463 0.3743 0.0000  12 B 2.48-2.54
Sc 0.9463 0.1257 0.0000  12 B 2.48-2.54
Sc 0.5537 0.6257 0.0000  12 B 2.48-2.54

[2]
Below is a relaxed ScB2Pt crystal, with properties calculated at the PBE level.

The calculated density is 8.55 g/cm³. Its total energy is -5.877 eV per atom. The volume comes out at 12.7 A^3/atom. For the spin magnetization, the calculation gives 0.00 μB per formula unit.

Cell lengths 4.1572, 4.1572, 4.1572 Å; angles 60.00, 60.00, 60.00 degrees
With the nearest neighbours (Å) after each atom.
Element x y z (fractional)
B 0.7500 0.7500 0.7500  4 B 2.55, 4 Sc 2.55
B 0.5000 0.5000 0.5000  4 B 2.55, 4 Pt 2.55
Sc 0.0000 0.0000 0.0000  4 B 2.55, 4 Pt 2.55
Pt 0.2500 0.2500 0.2500  4 Sc 2.55, 4 B 2.55

[3]
Below is a relaxed Sc2BPt crystal, with properties calculated at the PBE level.

The calculated density is 8.27 g/cm³. Its total energy is -6.477 eV per atom. The volume comes out at 14.9 A^3/atom. For the spin magnetization, the calculation gives 0.84 μB per formula unit.

Cell lengths 4.3799, 4.3799, 4.3799 Å; angles 60.00, 60.00, 60.00 degrees
With the nearest neighbours (Å) after each atom.
Element x y z (fractional)
B 0.5000 0.5000 0.5000  4 Pt 2.68, 4 Sc 2.68
Sc 0.0000 0.0000 0.0000  4 Sc 2.68, 4 Pt 2.68
Sc 0.7500 0.7500 0.7500  4 Sc 2.68, 4 B 2.68
Pt 0.2500 0.2500 0.2500  4 B 2.68, 4 Sc 2.68

[4]
Below is a relaxed SiB4Pt crystal, with properties calculated at the PBE level.

The calculated density is 7.94 g/cm³. Its total energy is -5.892 eV per atom. The volume comes out at 9.3 A^3/atom. For the spin magnetization, the calculation gives 0.00 μB per formula unit.

Cell lengths 4.5952, 4.5952, 4.5952 Å; angles 141.23, 108.61, 84.34 degrees
With the nearest neighbours (Å) after each atom.
Element x y z (fractional)
B 0.4250 0.7577 0.6673  3 B 1.77-1.79
B 0.0904 0.7577 0.3327  3 B 1.77-1.79
B 0.5750 0.2423 0.3327  3 B 1.77-1.79
B 0.9096 0.2423 0.6673  3 B 1.77-1.79
Pt 0.0000 0.0000 0.0000  12 B 2.43-2.49
Si 0.5000 0.5000 0.0000  12 B 2.42-2.50

[5]
Below is a relaxed SiB4Pt crystal, with properties calculated at the PBE level.

The calculated density is 8.14 g/cm³. Its total energy is -5.970 eV per atom. The volume comes out at 9.1 A^3/atom. For the spin magnetization, the calculation gives 0.00 μB per formula unit.

Cell lengths 3.0349, 3.0349, 6.8115 Å; angles 90.00, 90.00, 120.00 degrees
With the nearest neighbours (Å) after each atom.
Element x y z (fractional)
Pt 0.0000 0.0000 0.0000  12 B 2.52
B 0.6667 0.3333 0.2656  3 B 1.75
B 0.3333 0.6667 0.7344  3 B 1.75
B 0.6667 0.3333 0.7344  3 B 1.75
B 0.3333 0.6667 0.2656  3 B 1.75
Si 0.0000 0.0000 0.5000  12 B 2.37

[6]
Below is a relaxed SmB4Pt crystal, with properties calculated at the PBE level.

The calculated density is 9.94 g/cm³. Its total energy is -6.326 eV per atom. The volume comes out at 10.8 A^3/atom. For the spin magnetization, the calculation gives 0.01 μB per formula unit.

Cell lengths 3.2772, 3.2772, 6.9820 Å; angles 90.00, 90.00, 120.00 degrees
With the nearest neighbours (Å) after each atom.
Element x y z (fractional)
B 0.6667 0.3333 0.2216  3 B 1.89
B 0.3333 0.6667 0.2216  3 B 1.89
B 0.3333 0.6667 0.7784  3 B 1.89
B 0.6667 0.3333 0.7784  3 B 1.89
Pt 0.0000 0.0000 0.0000  12 B 2.44
Sm 0.0000 0.0000 0.5000  12 B 2.71

[7]
Below is a relaxed SmB4Pt crystal, with properties calculated at the PBE level.

The calculated density is 9.53 g/cm³. Its total energy is -6.334 eV per atom. The volume comes out at 11.3 A^3/atom. For the spin magnetization, the calculation gives 0.00 μB per formula unit.

Cell lengths 5.0861, 5.0861, 5.0861 Å; angles 143.78, 117.29, 74.62 degrees
With the nearest neighbours (Å) after each atom.
Element x y z (fractional)
B 0.5821 0.2593 0.3228  3 B 1.77-1.88
B 0.0634 0.7407 0.3228  3 B 1.77-1.88
B 0.9366 0.2593 0.6772  3 B 1.77-1.88
B 0.4179 0.7407 0.6772  3 B 1.77-1.88
Sm 0.0000 0.0000 0.0000  12 B 2.68-2.71
Pt 0.5000 0.5000 0.0000  12 B 2.59-2.79

[8]
Below is a relaxed SmB2Pt6 crystal, with properties calculated at the PBE level.

The calculated density is 14.70 g/cm³. Its total energy is -6.729 eV per atom. The volume comes out at 16.9 A^3/atom. For the spin magnetization, the calculation gives 0.00 μB per formula unit.

Cell lengths 5.6150, 5.6150, 5.5545 Å; angles 90.00, 90.00, 120.00 degrees
With the nearest neighbours (Å) after each atom.
Element x y z (fractional)
Pt 0.5000 0.5000 0.7539  2 B 2.15
Pt 0.0000 0.5000 0.7539  2 B 2.15
Pt 0.5000 0.0000 0.7539  2 B 2.15
Pt 0.5000 0.0000 0.2461  2 B 2.15
Pt 0.5000 0.5000 0.2461  2 B 2.15
Pt 0.0000 0.5000 0.2461  2 B 2.15
B 0.6667 0.3333 0.5000  6 Pt 2.15
B 0.3333 0.6667 0.5000  6 Pt 2.15
Sm 0.0000 0.0000 0.0000  12 Pt 3.12

[9]
Below is a relaxed SrSmB2Pt8 crystal, with properties calculated at the PBE level.

The calculated density is 14.92 g/cm³. Its total energy is -6.398 eV per atom. The volume comes out at 16.9 A^3/atom. For the spin magnetization, the calculation gives 0.01 μB per formula unit.

Cell lengths 5.5321, 5.5321, 7.6443 Å; angles 90.00, 90.00, 120.00 degrees
With the nearest neighbours (Å) after each atom.
Element x y z (fractional)
Pt 0.0000 0.5000 0.6980  2 B 2.20
Pt 0.5000 0.0000 0.3020  2 B 2.20
Pt 0.0000 0.5000 0.3020  2 B 2.20
Pt 0.6667 0.3333 0.0000  6 Pt 2.81
Pt 0.5000 0.5000 0.3020  2 B 2.20
Pt 0.3333 0.6667 0.0000  6 Pt 2.81
Pt 0.5000 0.0000 0.6980  2 B 2.20
Pt 0.5000 0.5000 0.6980  2 B 2.20
Sr 0.0000 0.0000 0.0000  6 Pt 3.19
Sm 0.0000 0.0000 0.5000  12 Pt 3.15, 6 B 3.19
B 0.6667 0.3333 0.5000  6 Pt 2.20
B 0.3333 0.6667 0.5000  6 Pt 2.20

[10]
Below is a relaxed SrSmB2Pt8 crystal, with properties calculated at the PBE level.

The calculated density is 15.01 g/cm³. Its total energy is -6.393 eV per atom. The volume comes out at 16.8 A^3/atom. For the spin magnetization, the calculation gives 0.01 μB per formula unit.

Cell lengths 5.5165, 5.5165, 7.6429 Å; angles 90.00, 90.00, 120.00 degrees
With the nearest neighbours (Å) after each atom.
Element x y z (fractional)
Pt 0.0000 0.5000 0.6994  2 B 2.20
Pt 0.3333 0.6667 0.0000  6 Pt 2.80
Pt 0.5000 0.5000 0.3006  2 B 2.20
Pt 0.6667 0.3333 0.0000  6 Pt 2.80
Pt 0.5000 0.5000 0.6994  2 B 2.20
Pt 0.0000 0.5000 0.3006  2 B 2.20
Pt 0.5000 0.0000 0.3006  2 B 2.20
Pt 0.5000 0.0000 0.6994  2 B 2.20
Sr 0.0000 0.0000 0.5000  12 Pt 3.15, 6 B 3.18
Sm 0.0000 0.0000 0.0000  6 Pt 3.18
B 0.3333 0.6667 0.5000  6 Pt 2.20
B 0.6667 0.3333 0.5000  6 Pt 2.20

[11]
Below is a relaxed SnBPt3 crystal, with properties calculated at the PBE level.

The calculated density is 15.05 g/cm³. Its total energy is -5.972 eV per atom. The volume comes out at 15.8 A^3/atom. For the spin magnetization, the calculation gives 0.00 μB per formula unit.

Cell lengths 5.7630, 5.7630, 4.7501 Å; angles 90.00, 90.00, 90.00 degrees
With the nearest neighbours (Å) after each atom.
Element x y z (fractional)
Pt 0.0000 0.0000 0.5000  2 B 2.38
Pt 0.1729 0.6729 0.0000  2 B 2.13
Pt 0.3271 0.1729 0.0000  2 B 2.13
Pt 0.5000 0.5000 0.5000  2 B 2.38
Pt 0.6729 0.8271 0.0000  2 B 2.13
Pt 0.8271 0.3271 0.0000  2 B 2.13
Sn 0.5000 0.0000 0.5000  8 Pt 2.76-2.88
Sn 0.0000 0.5000 0.5000  8 Pt 2.76-2.88
B 0.5000 0.5000 0.0000  6 Pt 2.13-2.38
B 0.0000 0.0000 0.0000  6 Pt 2.13-2.38

[12]
Below is a relaxed SnB4Pt crystal, with properties calculated at the PBE level.

The calculated density is 8.73 g/cm³. Its total energy is -5.587 eV per atom. The volume comes out at 11.3 A^3/atom. For the spin magnetization, the calculation gives 0.00 μB per formula unit.

Cell lengths 5.4026, 5.4026, 5.4026 Å; angles 150.32, 118.21, 70.04 degrees
With the nearest neighbours (Å) after each atom.
Element x y z (fractional)
B 0.0804 0.7314 0.3489  3 B 1.68-1.80
B 0.3825 0.7314 0.6511  3 B 1.68-1.80
B 0.6175 0.2686 0.3489  3 B 1.68-1.80
B 0.9196 0.2686 0.6511  3 B 1.68-1.80
Pt 0.0000 0.0000 0.0000  8 B 2.61, 2 Pt 2.77
Sn 0.5000 0.5000 0.0000  2 Sn 2.77, 12 B 2.82-2.87

[13]
Below is a relaxed SnB4Pt crystal, with properties calculated at the PBE level.

The calculated density is 9.20 g/cm³. Its total energy is -5.593 eV per atom. The volume comes out at 10.7 A^3/atom. For the spin magnetization, the calculation gives 0.00 μB per formula unit.

Cell lengths 3.1613, 3.1613, 7.4419 Å; angles 90.00, 90.00, 120.00 degrees
With the nearest neighbours (Å) after each atom.
Element x y z (fractional)
Pt 0.0000 0.0000 0.0000  12 B 2.49
B 0.3333 0.6667 0.2284  3 B 1.83
B 0.3333 0.6667 0.7716  3 B 1.83
B 0.6667 0.3333 0.2284  3 B 1.83
B 0.6667 0.3333 0.7716  3 B 1.83
Sn 0.0000 0.0000 0.5000  12 B 2.72

[14]
Below is a relaxed Sr3B8Pt crystal, with properties calculated at the PBE level.

The calculated density is 6.22 g/cm³. Its total energy is -5.215 eV per atom. The volume comes out at 12.1 A^3/atom. For the spin magnetization, the calculation gives 0.00 μB per formula unit.

Cell lengths 6.9132, 6.9132, 6.9132 Å; angles 44.09, 44.09, 44.09 degrees
With the nearest neighbours (Å) after each atom.
Element x y z (fractional)
B 0.4960 0.8486 0.4960  4 B 1.83-1.99
B 0.5040 0.5040 0.1514  4 B 1.83-1.99
B 0.5040 0.1514 0.5040  4 B 1.83-1.99
B 0.8486 0.4960 0.4960  4 B 1.83-1.99
B 0.1514 0.5040 0.5040  4 B 1.83-1.99
B 0.6950 0.6950 0.6950  6 B 1.85-1.99
B 0.3050 0.3050 0.3050  6 B 1.85-1.99
B 0.4960 0.4960 0.8486  4 B 1.83-1.99
Sr 0.1598 0.1598 0.1598  4 B 2.71-2.97, 4 Sr 2.99-3.01, 3 Pt 3.00
Sr 0.8402 0.8402 0.8402  4 B 2.71-2.97, 4 Sr 2.99-3.01, 3 Pt 3.00
Sr 0.0000 0.0000 0.0000  18 B 2.81-3.04, 2 Sr 2.99
Pt 0.5000 0.5000 0.5000  6 B 2.37

[15]
Below is a relaxed SrB4Pt crystal, with properties calculated at the PBE level.

The calculated density is 8.04 g/cm³. Its total energy is -5.572 eV per atom. The volume comes out at 11.2 A^3/atom. For the spin magnetization, the calculation gives 0.00 μB per formula unit.

Cell lengths 3.2218, 3.2218, 7.4852 Å; angles 90.00, 90.00, 120.00 degrees
With the nearest neighbours (Å) after each atom.
Element x y z (fractional)
Sr 0.0000 0.0000 0.0000  12 B 2.86
B 0.6667 0.3333 0.2901  3 B 1.86
B 0.3333 0.6667 0.2901  3 B 1.86
B 0.6667 0.3333 0.7099  3 B 1.86
B 0.3333 0.6667 0.7099  3 B 1.86
Pt 0.0000 0.0000 0.5000  12 B 2.43

[16]
Below is a relaxed SrB4Pt crystal, with properties calculated at the PBE level.

The calculated density is 7.82 g/cm³. Its total energy is -5.533 eV per atom. The volume comes out at 11.5 A^3/atom. For the spin magnetization, the calculation gives 0.00 μB per formula unit.

Cell lengths 5.3161, 5.3161, 5.3161 Å; angles 148.56, 116.17, 72.89 degrees
With the nearest neighbours (Å) after each atom.
Element x y z (fractional)
B 0.3874 0.7351 0.6523  3 B 1.71-1.83
B 0.0829 0.7351 0.3477  3 B 1.71-1.83
B 0.6126 0.2649 0.3477  3 B 1.71-1.83
B 0.9171 0.2649 0.6523  3 B 1.71-1.83
Pt 0.0000 0.0000 0.0000  8 B 2.62, 2 Pt 2.88
Sr 0.5000 0.5000 0.0000  12 B 2.80-2.82, 2 Sr 2.88

[17]
Below is a relaxed Ta2BPt crystal, with properties calculated at the PBE level.

The calculated density is 15.55 g/cm³. Its total energy is -8.504 eV per atom. The volume comes out at 15.2 A^3/atom. For the spin magnetization, the calculation gives 0.54 μB per formula unit.

Cell lengths 4.4096, 4.4096, 4.4096 Å; angles 60.00, 60.00, 60.00 degrees
With the nearest neighbours (Å) after each atom.
Element x y z (fractional)
B 0.5000 0.5000 0.5000  4 Pt 2.70, 4 Ta 2.70
Pt 0.2500 0.2500 0.2500  4 Ta 2.70, 4 B 2.70
Ta 0.7500 0.7500 0.7500  4 B 2.70, 4 Ta 2.70
Ta 0.0000 0.0000 0.0000  4 Pt 2.70, 4 Ta 2.70

[18]
Below is a relaxed TbBPt crystal, with properties calculated at the PBE level.

The calculated density is 10.26 g/cm³. Its total energy is -5.678 eV per atom. The volume comes out at 19.7 A^3/atom. For the spin magnetization, the calculation gives 0.51 μB per formula unit.

Cell lengths 4.3713, 4.3713, 4.3713 Å; angles 60.00, 60.00, 60.00 degrees
With the nearest neighbours (Å) after each atom.
Element x y z (fractional)
Pt 0.0000 0.0000 0.0000  4 Tb 2.68, 4 B 2.68
B 0.2500 0.2500 0.2500  4 Pt 2.68
Tb 0.7500 0.7500 0.7500  4 Pt 2.68

[19]
Below is a relaxed TbBPt crystal, with properties calculated at the PBE level.

The calculated density is 11.68 g/cm³. Its total energy is -6.058 eV per atom. The volume comes out at 17.3 A^3/atom. For the spin magnetization, the calculation gives 0.01 μB per formula unit.

Cell lengths 4.1859, 4.1859, 4.1859 Å; angles 60.00, 60.00, 60.00 degrees
With the nearest neighbours (Å) after each atom.
Element x y z (fractional)
Tb 0.7500 0.7500 0.7500  4 B 2.56
B 0.0000 0.0000 0.0000  4 Pt 2.56, 4 Tb 2.56
Pt 0.2500 0.2500 0.2500  4 B 2.56

[20]
Below is a relaxed TcBPt2 crystal, with properties calculated at the PBE level.

The calculated density is 15.22 g/cm³. Its total energy is -6.756 eV per atom. The volume comes out at 13.6 A^3/atom. For the spin magnetization, the calculation gives 0.02 μB per formula unit.

Cell lengths 4.2538, 4.2538, 4.2538 Å; angles 60.00, 60.00, 60.00 degrees
With the nearest neighbours (Å) after each atom.
Element x y z (fractional)
B 0.5000 0.5000 0.5000  4 Tc 2.60, 4 Pt 2.60
Pt 0.0000 0.0000 0.0000  4 Pt 2.60, 4 Tc 2.60
Pt 0.7500 0.7500 0.7500  4 Pt 2.60, 4 B 2.60
Tc 0.2500 0.2500 0.2500  4 B 2.60, 4 Pt 2.60